1.
DFT (PBE-GGA) results for crystalline Ba2Li3YF12 at its relaxed geometry.

abc: 7.1685 7.1685 7.1685
angles: 58.50 58.50 58.50
Positions (direct):
Ba 0.1072 0.1072 0.1072
Ba 0.8928 0.8928 0.8928
Li 0.0000 0.5000 0.5000
Li 0.5000 0.0000 0.5000
Li 0.5000 0.5000 0.0000
Y 0.5000 0.5000 0.5000
F 0.1005 0.6353 0.6353
F 0.2245 0.2245 0.6451
F 0.2245 0.6451 0.2245
F 0.3549 0.7755 0.7755
F 0.3647 0.3647 0.8995
F 0.3647 0.8995 0.3647
F 0.6353 0.1005 0.6353
F 0.6353 0.6353 0.1005
F 0.6451 0.2245 0.2245
F 0.7755 0.3549 0.7755
F 0.7755 0.7755 0.3549
F 0.8995 0.3647 0.3647

Spin magnetization, μB per cell: 2.1
Formation energy without anion corrections, eV per atom: -3.048
Calculated total energy, eV per atom: -5.19

2.
DFT (PBE-GGA) results for crystalline BaLiYF6 at its relaxed geometry.

abc: 5.6421 5.6421 11.3526
angles: 90.00 90.00 120.00
Positions (direct):
Ba 0.0000 0.0000 0.0000
Ba 0.0000 0.0000 0.5000
Li 0.3333 0.6667 0.2500
Li 0.6667 0.3333 0.7500
Y 0.3333 0.6667 0.7500
Y 0.6667 0.3333 0.2500
F 0.0105 0.3727 0.1448
F 0.0105 0.6378 0.3552
F 0.3622 0.3727 0.3552
F 0.3622 0.9895 0.1448
F 0.3727 0.0105 0.6448
F 0.3727 0.3622 0.8552
F 0.6273 0.6378 0.1448
F 0.6273 0.9895 0.3552
F 0.6378 0.0105 0.8552
F 0.6378 0.6273 0.6448
F 0.9895 0.3622 0.6448
F 0.9895 0.6273 0.8552

Spin magnetization, μB per cell: 0.0
Formation energy without anion corrections, eV per atom: -3.737
Calculated total energy, eV per atom: -6.13

3.
DFT (PBE-GGA) results for crystalline BaLi4Zn3F12 at its relaxed geometry.

abc: 6.9265 6.9265 6.9265
angles: 107.39 107.39 107.39
Positions (direct):
Ba 0.0000 0.0000 0.0000
Li 0.0677 0.5000 0.9323
Li 0.5000 0.5000 0.5000
Li 0.5000 0.9323 0.0677
Li 0.9323 0.0677 0.5000
Zn 0.0000 0.5665 0.4335
Zn 0.4335 0.0000 0.5665
Zn 0.5665 0.4335 0.0000
F 0.0432 0.6512 0.7579
F 0.0950 0.9050 0.5000
F 0.2421 0.3488 0.9568
F 0.3358 0.6642 0.5000
F 0.3488 0.9568 0.2421
F 0.5000 0.0950 0.9050
F 0.5000 0.3358 0.6642
F 0.6512 0.7579 0.0432
F 0.6642 0.5000 0.3358
F 0.7579 0.0432 0.6512
F 0.9050 0.5000 0.0950
F 0.9568 0.2421 0.3488

Spin magnetization, μB per cell: 0.0
Formation energy without anion corrections, eV per atom: -2.756
Calculated total energy, eV per atom: -4.55